## 1
Compound: BaLiTl4
Source: the Alexandria database
Functional: PBE
Structure: optimized geometry

Cell: 8.572 8.572 8.072 Å, 90.00 90.00 141.64°
Fractional positions:
Ba (0.110, 0.890, 0.750)
Ba (0.890, 0.110, 0.250)
Li (0.367, 0.633, 0.750)
Li (0.633, 0.367, 0.250)
Tl (0.104, 0.896, 0.250)
Tl (0.286, 0.714, 0.057)
Tl (0.286, 0.714, 0.443)
Tl (0.500, 0.500, 0.000)
Tl (0.500, 0.500, 0.500)
Tl (0.714, 0.286, 0.557)
Tl (0.714, 0.286, 0.943)
Tl (0.896, 0.104, 0.750)

Output
N(E_F): 6.287 states/eV/cell

=====

## 2
Compound: BaLiTl4
Source: the Alexandria database
Functional: PBE
Structure: optimized geometry

Cell: 6.530 6.530 6.530 Å, 60.00 60.00 60.00°
Fractional positions:
Ba (0.000, 0.000, 0.000)
Li (0.750, 0.750, 0.750)
Tl (0.376, 0.376, 0.376)
Tl (0.376, 0.376, 0.873)
Tl (0.376, 0.873, 0.376)
Tl (0.873, 0.376, 0.376)

Output
N(E_F): 4.634 states/eV/cell

=====

## 3
Compound: BaLiTl4
Source: the Alexandria database
Functional: PBE
Structure: optimized geometry

Cell: 9.606 9.606 7.880 Å, 90.00 90.00 150.74°
Fractional positions:
Ba (0.118, 0.882, 0.750)
Ba (0.882, 0.118, 0.250)
Li (0.230, 0.770, 0.250)
Li (0.770, 0.230, 0.750)
Tl (0.076, 0.924, 0.250)
Tl (0.314, 0.686, 0.552)
Tl (0.314, 0.686, 0.948)
Tl (0.500, 0.500, 0.000)
Tl (0.500, 0.500, 0.500)
Tl (0.686, 0.314, 0.052)
Tl (0.686, 0.314, 0.448)
Tl (0.924, 0.076, 0.750)

Output
N(E_F): 7.039 states/eV/cell

=====

Among the structures above, stability is greatest for 3.